No. 1
Na2Pd2PbO6, optimized geometry, DFT PBE-GGA; space group = C2/m; E_form (uncorrected) = -856 meV/atom
1.0
2.9152 -4.7785 0.0000
2.9152 4.7785 0.0000
-2.2153 0.0000 5.5551
Na Pd Pb O
2 2 1 6
Direct
0.1778 0.8222 0.0000 Na
0.8222 0.1778 0.0000 Na
0.3369 0.6631 0.5000 Pd
0.6631 0.3369 0.5000 Pd
0.0000 0.0000 0.5000 Pb
0.0339 0.3996 0.7041 O
0.2713 0.2713 0.3056 O
0.3996 0.0339 0.7041 O
0.6004 0.9661 0.2959 O
0.7287 0.7287 0.6944 O
0.9661 0.6004 0.2959 O

No. 2
Na2PdPbO4, optimized geometry, DFT PBE-GGA; space group = P2/m; E_form (uncorrected) = -1063 meV/atom
1.0
6.2744 0.0000 0.0000
0.0000 3.1695 0.0000
-2.9497 0.0000 5.6491
Na Pd Pb O
2 1 1 4
Direct
0.0000 0.0000 0.0000 Na
0.5000 0.5000 0.5000 Na
0.0000 0.0000 0.5000 Pd
0.5000 0.5000 0.0000 Pb
0.0948 0.5000 0.7383 O
0.4195 0.0000 0.1937 O
0.5805 0.0000 0.8063 O
0.9052 0.5000 0.2617 O

Q: Among the records above, which one has the highest E_form (uncorrected)?
A: Na2Pd2PbO6

Q: Among the records above, which one has the lowest E_form (uncorrected)?
A: Na2PdPbO4

Q: Which value of E_form (uncorrected) does entry 1 give?
A: -856 meV/atom